{
  "formula": "LiTiCr2O6",
  "functional": "PBE+U",
  "state": "relaxed",
  "lattice": [[5.005, 0.000, 0.000], [-2.447, 4.381, 0.000], [-2.412, -1.453, 4.601]],
  "species": ["Li", "Ti", "Cr", "Cr", "O", "O", "O", "O", "O", "O"],
  "fractional_positions": [[0.000, 0.000, 0.000], [0.990, 0.487, 0.480], [0.572, 0.791, 0.362], [0.579, 0.292, 0.869], [0.075, 0.193, 0.644], [0.078, 0.413, 0.162], [0.445, 0.877, 0.640], [0.491, 0.068, 0.168], [0.738, 0.669, 0.164], [0.750, 0.562, 0.638]],
  "final_energy_ev_per_atom": -7.63,
  "space_group": "P1, No. 1",
  "magnetic_moment_mub_per_atom": 0.5000
}